# 1
The following is a DFT calculation (GGA-PBEsol) of a relaxed structure of Ca2CuBSb.

## Properties
Formation energy (no corrections), eV/atom: -0.166
Magnetic moment, μB/atom: 0.00
Raw total energy, eV per atom: -4.2006

a b c (Å): 5.2952 5.2952 3.8465
angles (deg): 90.00 90.00 90.00
Closest atoms and distances in Å follow each position.
Fractional positions:
Ca  0.0000  0.5000  0.0000  2 B 2.65
Ca  0.5000  0.0000  0.0000  2 B 2.65
Cu  0.0000  0.0000  0.5000  2 B 1.92
B  0.0000  0.0000  0.0000  2 Cu 1.92
Sb  0.5000  0.5000  0.5000  8 Ca 3.27

# 2
The following is a DFT calculation (GGA-PBEsol) of a relaxed structure of AlGaCl2.

## Properties
Formation energy (no corrections), eV/atom: -0.374
Magnetic moment, μB/atom: 0.00
Raw total energy, eV per atom: -3.2360

a b c (Å): 9.1781 9.1781 9.1781
angles (deg): 20.73 20.73 20.73
Closest atoms and distances in Å follow each position.
Fractional positions:
Al  0.0000  0.0000  0.0000  6 Cl 2.67
Ga  0.5000  0.5000  0.5000  2 Cl 2.62
Cl  0.4026  0.4026  0.4026  1 Ga 2.62, 3 Al 2.67
Cl  0.5974  0.5974  0.5974  1 Ga 2.62, 3 Al 2.67

# 3
The following is a DFT calculation (GGA-PBEsol) of a relaxed structure of Te8Ir3.

## Properties
Formation energy (no corrections), eV/atom: -0.257
Magnetic moment, μB/atom: 0.00
Raw total energy, eV per atom: -5.5005

a b c (Å): 8.9950 9.0507 11.1396
angles (deg): 89.47 89.94 60.22
Closest atoms and distances in Å follow each position.
Fractional positions:
Te  0.0007  0.4934  0.1302  2 Ir 2.64-2.70, 1 Te 2.90
Te  0.0228  0.2422  0.3760  2 Ir 2.64-2.67, 1 Te 2.90
Te  0.0782  0.0847  0.7085  3 Ir 2.65-2.66, 1 Te 2.92
Te  0.0785  0.8259  0.9584  2 Ir 2.64-2.68, 1 Te 2.90
Te  0.2541  0.4931  0.3744  3 Ir 2.65-2.66, 1 Te 2.88
Te  0.2651  0.2518  0.6237  2 Ir 2.63-2.69, 1 Te 2.92
Te  0.3229  0.0853  0.9597  2 Ir 2.66-2.68, 1 Te 2.90
Te  0.3290  0.5854  0.7078  3 Ir 2.65-2.68, 1 Te 2.90
Te  0.3329  0.8382  0.2031  2 Ir 2.64-2.65, 1 Te 2.90
Te  0.3423  0.8335  0.4633  2 Ir 2.65-2.71, 1 Te 2.90
Te  0.4140  0.4113  0.0452  3 Ir 2.63-2.66, 1 Te 2.90
Te  0.4366  0.1448  0.2968  1 Ir 2.64, 1 Te 2.88
Te  0.5634  0.8552  0.7032  1 Ir 2.64, 1 Te 2.88
Te  0.5860  0.5887  0.9548  3 Ir 2.63-2.66, 1 Te 2.90
Te  0.6577  0.1665  0.5367  2 Ir 2.65-2.71, 1 Te 2.90
Te  0.6671  0.1618  0.7969  2 Ir 2.64-2.65, 1 Te 2.90
Te  0.6710  0.4146  0.2922  3 Ir 2.65-2.68, 1 Te 2.90
Te  0.6771  0.9147  0.0403  2 Ir 2.66-2.68, 1 Te 2.90
Te  0.7349  0.7482  0.3763  2 Ir 2.63-2.69, 1 Te 2.92
Te  0.7459  0.5069  0.6256  3 Ir 2.65-2.66, 1 Te 2.88
Te  0.9215  0.1741  0.0416  2 Ir 2.64-2.68, 1 Te 2.90
Te  0.9218  0.9153  0.2915  3 Ir 2.65-2.66, 1 Te 2.92
Te  0.9772  0.7578  0.6240  2 Ir 2.64-2.67, 1 Te 2.90
Te  0.9993  0.5066  0.8698  2 Ir 2.64-2.70, 1 Te 2.90
Ir  0.0000  0.0000  0.5000  6 Te 2.65-2.71
Ir  0.0000  0.5000  0.5000  6 Te 2.64-2.69
Ir  0.1694  0.6661  0.1675  6 Te 2.64-2.70
Ir  0.3291  0.8343  0.8339  6 Te 2.63-2.68
Ir  0.3330  0.3340  0.8346  6 Te 2.63-2.68
Ir  0.5000  0.5000  0.5000  6 Te 2.65-2.68
Ir  0.6670  0.6660  0.1654  6 Te 2.63-2.68
Ir  0.6709  0.1657  0.1661  6 Te 2.63-2.68
Ir  0.8306  0.3339  0.8325  6 Te 2.64-2.70

# 4
The following is a DFT calculation (GGA-PBEsol) of a relaxed structure of TcCI2.

## Properties
Formation energy (no corrections), eV/atom: 1.866
Magnetic moment, μB/atom: 0.00
Raw total energy, eV per atom: -4.2446

a b c (Å): 7.1184 7.1184 7.1184
angles (deg): 134.00 134.00 67.10
Closest atoms and distances in Å follow each position.
Fractional positions:
Tc  0.0000  0.0000  0.0000  4 I 2.54
Tc  0.7500  0.2500  0.5000  4 I 2.54
C  0.2500  0.7500  0.5000  4 I 2.39
C  0.5000  0.5000  0.0000  4 I 2.39
I  0.1494  0.6250  0.0244  2 C 2.39, 2 Tc 2.54
I  0.3750  0.3994  0.5244  2 C 2.39, 2 Tc 2.54
I  0.6006  0.1250  0.9756  2 C 2.39, 2 Tc 2.54
I  0.8750  0.8506  0.4756  2 C 2.39, 2 Tc 2.54